# 1
TaTePb2 PBE-GGA relaxed; ρ = 11.65 g/cm³; total magnetic moment = 0.00 μB/f.u.; raw formation energy = 2.6 eV per formula unit
1.0
5.4013 0.0000 0.0000
0.0000 5.4013 0.0000
0.0000 0.0000 3.5312
Pb Ta Te
2 1 1
Cartesian
2.7006 2.7006 0.0000 Pb
0.0000 0.0000 0.0000 Pb
2.7006 0.0000 1.7656 Ta
0.0000 2.7006 1.7656 Te


# 2
NdTmTl PBE-GGA relaxed; ρ = 9.82 g/cm³; E_form = -251 meV/atom; total magnetic moment = 0.00 μB/f.u.; E above lowest polymorph = 0.0 kJ/mol of formula units
1.0
5.4492 0.0000 0.0000
-2.7246 4.7209 0.0000
0.0000 0.0000 6.8071
Tm Nd Tl
2 2 2
Cartesian
0.0000 3.1453 5.1053 Tm
2.7246 1.5756 1.7018 Tm
0.0000 0.0000 3.4035 Nd
0.0000 0.0000 0.0000 Nd
0.0000 3.1488 1.7018 Tl
2.7246 1.5721 5.1053 Tl


# 3
Cr3GeB PBE-GGA relaxed; ρ = 6.71 g/cm³; E_form = 201 meV/atom; total magnetic moment = 0.00 μB/f.u.; E above lowest polymorph = 0.0 kJ/mol of formula units
1.0
3.8985 0.0000 0.0000
0.0000 3.8985 0.0000
0.0000 0.0000 3.8985
Cr B Ge
3 1 1
Cartesian
0.0000 0.0000 1.9493 Cr
1.9493 0.0000 0.0000 Cr
0.0000 1.9493 0.0000 Cr
0.0000 0.0000 0.0000 B
1.9493 1.9493 1.9493 Ge


- Which of these has the lowest ρ?
  Cr3GeB


Repeat the second record exactly.
NdTmTl PBE-GGA relaxed; ρ = 9.82 g/cm³; E_form = -251 meV/atom; total magnetic moment = 0.00 μB/f.u.; E above lowest polymorph = 0.0 kJ/mol of formula units
1.0
5.4492 0.0000 0.0000
-2.7246 4.7209 0.0000
0.0000 0.0000 6.8071
Tm Nd Tl
2 2 2
Cartesian
0.0000 3.1453 5.1053 Tm
2.7246 1.5756 1.7018 Tm
0.0000 0.0000 3.4035 Nd
0.0000 0.0000 0.0000 Nd
0.0000 3.1488 1.7018 Tl
2.7246 1.5721 5.1053 Tl


- Which of these has the lowest ρ?
  Cr3GeB


- Which value of total magnetic moment does entry 1 give?
  0.00 μB/f.u.